(1)
A plane-wave DFT calculation with PBE was carried out for BaFeCu2P after structural relaxation.

Unit cell a=5.2092 b=5.1648 c=5.2092 alpha=90.00 beta=90.00 gamma=90.00
With the nearest neighbours (Å) after each atom.
Atoms (fractional coordinates):
1 P 0.5000 0.5000 0.5000  8 Cu 3.67, 4 Fe 3.68
2 Cu 0.0000 0.0000 0.5000  2 Ba 2.60
3 Cu 0.5000 0.0000 0.0000  2 Ba 2.60
4 Ba 0.0000 0.0000 0.0000  2 Fe 2.58, 4 Cu 2.60
5 Fe 0.0000 0.5000 0.0000  2 Ba 2.58

Computed properties:
Symmetry = P4/mmm
Density = 4.16 g cm⁻³
E_tot = -2.728 eV/atom
E_form = 2.07 eV/atom

---

(2)
A plane-wave DFT calculation with PBE was carried out for RbBaFe2Cu after structural relaxation.

Unit cell a=5.5475 b=7.0244 c=5.5475 alpha=90.00 beta=90.00 gamma=90.00
With the nearest neighbours (Å) after each atom.
Atoms (fractional coordinates):
1 Ba 0.0000 0.0000 0.0000  4 Fe 2.77
2 Fe 0.0000 0.0000 0.5000  2 Ba 2.77
3 Fe 0.5000 0.0000 0.0000  2 Ba 2.77
4 Cu 0.5000 0.5000 0.5000  4 Rb 3.92
5 Rb 0.0000 0.5000 0.0000  2 Ba 3.51, 4 Cu 3.92

Computed properties:
Symmetry = P4/mmm
Density = 3.06 g cm⁻³
E_tot = -2.870 eV/atom
E_form = 1.91 eV/atom